(1)
AlVBr3: optimized geometry, PBE.

a = 5.199 Å, b = 5.199 Å, c = 5.199 Å
α = 90.00°, β = 90.00°, γ = 90.00°
Element x y z (fractional)
1 Al 0.000 0.000 0.000
2 V 0.500 0.500 0.500
3 Br 0.000 0.000 0.500
4 Br 0.000 0.500 0.000
5 Br 0.500 0.000 0.000

Calculated values
Raw total energy = -3.470 eV/atom
Density of states at the Fermi level = 10.04 states/eV per cell
Raw formation energy = 0.106 eV/atom

=====

(2)
Na4US5: optimized geometry, PBE.

a = 6.997 Å, b = 6.997 Å, c = 6.997 Å
α = 98.99°, β = 98.99°, γ = 133.43°
Element x y z (fractional)
1 Na 0.102 0.700 0.803
2 Na 0.300 0.102 0.402
3 Na 0.700 0.898 0.598
4 Na 0.898 0.300 0.197
5 U 0.500 0.500 0.000
6 S 0.000 0.000 0.000
7 S 0.235 0.419 0.653
8 S 0.419 0.765 0.184
9 S 0.581 0.235 0.816
10 S 0.765 0.581 0.347

Calculated values
Raw total energy = -4.948 eV/atom
Raw formation energy = -1.227 eV/atom

=====

(3)
CsIn2GaIr: optimized geometry, PBE.

a = 5.313 Å, b = 5.313 Å, c = 4.967 Å
α = 90.00°, β = 90.00°, γ = 90.00°
Element x y z (fractional)
1 Cs 0.000 0.000 0.000
2 In 0.000 0.500 0.500
3 In 0.500 0.000 0.500
4 Ga 0.500 0.500 0.000
5 Ir 0.500 0.500 0.500

Calculated values
Raw total energy = -3.804 eV/atom
Density of states at the Fermi level = 3.80 states/eV per cell

=====

(4)
NaYH2Se: optimized geometry, PBE.

a = 4.375 Å, b = 4.375 Å, c = 5.113 Å
α = 90.00°, β = 90.00°, γ = 90.00°
Element x y z (fractional)
1 Na 0.000 0.000 0.000
2 Y 0.500 0.500 0.000
3 H 0.000 0.500 0.500
4 H 0.500 0.000 0.500
5 Se 0.000 0.000 0.500

Calculated values
Raw total energy = -2.908 eV/atom
Density of states at the Fermi level = 2.66 states/eV per cell

=====

(5)
LaHgI: optimized geometry, PBE.

a = 11.538 Å, b = 11.538 Å, c = 5.133 Å
α = 90.66°, β = 90.66°, γ = 21.14°
Element x y z (fractional)
1 La 0.075 0.075 0.254
2 La 0.925 0.925 0.746
3 Hg 0.462 0.462 0.248
4 Hg 0.538 0.538 0.752
5 I 0.321 0.321 0.756
6 I 0.679 0.679 0.244

Calculated values
Raw total energy = -3.074 eV/atom
Density of states at the Fermi level = 4.17 states/eV per cell
Raw formation energy = -0.814 eV/atom

=====

(6)
Co2Ni4Pt5: optimized geometry, PBE.

a = 9.272 Å, b = 9.272 Å, c = 9.272 Å
α = 163.44°, β = 137.40°, γ = 46.00°
Element x y z (fractional)
1 Co 0.092 0.092 0.000
2 Co 0.908 0.908 0.000
3 Ni 0.183 0.500 0.683
4 Ni 0.227 0.227 0.000
5 Ni 0.773 0.773 0.000
6 Ni 0.817 0.500 0.317
7 Pt 0.147 0.352 0.795
8 Pt 0.443 0.648 0.795
9 Pt 0.500 0.000 0.500
10 Pt 0.557 0.352 0.205
11 Pt 0.853 0.648 0.205

Calculated values
Raw total energy = -5.992 eV/atom
Density of states at the Fermi level = 14.19 states/eV per cell

=====

(7)
Pm3YHo4: optimized geometry, PBE.

a = 11.912 Å, b = 11.912 Å, c = 6.723 Å
α = 106.31°, β = 106.31°, γ = 16.84°
Element x y z (fractional)
1 Pm 0.000 0.000 0.000
2 Pm 0.127 0.127 0.873
3 Pm 0.873 0.873 0.127
4 Y 0.500 0.500 0.500
5 Ho 0.125 0.125 0.385
6 Ho 0.260 0.260 0.268
7 Ho 0.740 0.740 0.732
8 Ho 0.875 0.875 0.615

Calculated values
Raw total energy = -4.720 eV/atom
Density of states at the Fermi level = 14.44 states/eV per cell

=====

(8)
CaPrNd: optimized geometry, PBE.

a = 16.709 Å, b = 16.709 Å, c = 3.745 Å
α = 90.02°, β = 90.02°, γ = 12.65°
Element x y z (fractional)
1 Ca 0.050 0.050 0.249
2 Ca 0.950 0.950 0.751
3 Pr 0.366 0.366 0.251
4 Pr 0.634 0.634 0.749
5 Nd 0.210 0.210 0.249
6 Nd 0.790 0.790 0.751

Calculated values
Raw total energy = -3.793 eV/atom
Density of states at the Fermi level = 8.15 states/eV per cell

=====

Number 1: magnetic moment 4.13 μB per cell. Number 2: magnetic moment 0.00 μB per cell. Number 3: magnetic moment 0.00 μB per cell. Number 4: magnetic moment 0.00 μB per cell. Number 5: magnetic moment 0.00 μB per cell. Number 6: magnetic moment 8.35 μB per cell. Number 7: magnetic moment 0.00 μB per cell. Number 8: magnetic moment 0.00 μB per cell.